The following is a DFT calculation (PBE-GGA) of an optimized crystal structure of Tl3CoCu2Cl9.

Structure (extended XYZ):
```
15
Lattice="6.911 0.000 0.000 -3.455 5.985 0.000 0.000 0.000 8.434" Properties=species:S:1:pos:R:3 pbc="T T T"
Tl 0.000 3.990 5.676
Tl 0.000 0.000 0.000
Tl 3.455 1.995 2.758
Co 0.000 0.000 4.217
Cu 0.000 3.990 1.378
Cu 3.455 1.995 7.056
Cl 5.212 0.981 5.593
Cl 3.455 4.023 5.593
Cl 1.699 0.981 5.593
Cl 1.756 5.004 2.841
Cl 0.000 1.962 2.841
Cl -1.756 5.004 2.841
Cl 3.455 0.000 0.000
Cl -1.728 2.992 0.000
Cl 1.728 2.992 0.000
```

Values from the calculation:
Spin magnetization   1.81 μB per formula unit
Formation energy from raw total energies   -66.9 kJ/mol of atoms
Space group   P-3m1, No. 164
Calculated total energy   -3.294 eV/atom
Fermi-level density of states   11.51 states/eV/cell